Below is crystalline Hf2TiRh2 at its relaxed geometry, with properties calculated at the PBE level.

Unit cell a=7.2696 b=7.2696 c=3.4308 alpha=90.00 beta=90.00 gamma=90.00
Last column: nearest neighbours and their distance in Å.
Fractional coordinates of all 10 atoms:
Hf: 0.1697 0.3303 0.0000  6 Rh 2.64-2.81
Hf: 0.3303 0.8303 0.0000  6 Rh 2.64-2.81
Hf: 0.6697 0.1697 0.0000  6 Rh 2.64-2.81
Hf: 0.8303 0.6697 0.0000  6 Rh 2.64-2.81
Ti: 0.0000 0.0000 0.5000  4 Rh 2.83
Ti: 0.5000 0.5000 0.5000  4 Rh 2.83
Rh: 0.1348 0.6348 0.5000  6 Hf 2.64-2.81, 1 Rh 2.77, 2 Ti 2.83
Rh: 0.3652 0.1348 0.5000  6 Hf 2.64-2.81, 1 Rh 2.77, 2 Ti 2.83
Rh: 0.6348 0.8652 0.5000  6 Hf 2.64-2.81, 1 Rh 2.77, 2 Ti 2.83
Rh: 0.8652 0.3652 0.5000  6 Hf 2.64-2.81, 1 Rh 2.77, 2 Ti 2.83

Properties
ΔE to the lowest computed polymorph, meV/atom: 0
Crystal system: tetragonal
Symmetry: No. 127

=====

Below is crystalline Hf2TiRh at its relaxed geometry, with properties calculated at the PBE level.

Unit cell a=9.0726 b=9.0726 c=9.0726 alpha=19.98 beta=19.98 gamma=19.98
Last column: nearest neighbours and their distance in Å.
Fractional coordinates of all 4 atoms:
Hf: 0.0000 0.0000 0.0000  3 Rh 2.76, 3 Ti 2.99
Hf: 0.1773 0.1773 0.1773  3 Rh 2.77, 3 Ti 2.97
Ti: 0.7559 0.7559 0.7559  6 Hf 2.97-2.99, 6 Ti 3.15
Rh: 0.5889 0.5889 0.5889  6 Hf 2.76-2.77

Properties
Crystal system: trigonal
Symmetry: No. 160

=====

Below is crystalline HfTi2Rh2 at its relaxed geometry, with properties calculated at the PBE level.

Unit cell a=7.5986 b=7.5986 c=2.8545 alpha=90.00 beta=90.00 gamma=90.00
Last column: nearest neighbours and their distance in Å.
Fractional coordinates of all 10 atoms:
Hf: 0.0000 0.0000 0.0000  2 Hf 2.85, 4 Ti 2.92
Hf: 0.5000 0.5000 0.0000  2 Hf 2.85, 4 Ti 2.92
Ti: 0.1429 0.3571 0.0000  6 Rh 2.59-2.68, 2 Ti 2.85
Ti: 0.3571 0.8571 0.0000  6 Rh 2.59-2.68, 2 Ti 2.85
Ti: 0.6429 0.1429 0.0000  6 Rh 2.59-2.68, 2 Ti 2.85
Ti: 0.8571 0.6429 0.0000  6 Rh 2.59-2.68, 2 Ti 2.85
Rh: 0.1558 0.6558 0.5000  6 Ti 2.59-2.68, 2 Rh 2.85
Rh: 0.3442 0.1558 0.5000  6 Ti 2.59-2.68, 2 Rh 2.85
Rh: 0.6558 0.8442 0.5000  6 Ti 2.59-2.68, 2 Rh 2.85
Rh: 0.8442 0.3442 0.5000  6 Ti 2.59-2.68, 2 Rh 2.85

Properties
ΔE to the lowest computed polymorph, meV/atom: 32
Crystal system: tetragonal
Symmetry: No. 127

=====

Below is crystalline HfTiVRh at its relaxed geometry, with properties calculated at the PBE level.

Unit cell a=4.5204 b=4.5204 c=4.5204 alpha=60.00 beta=60.00 gamma=60.00
Last column: nearest neighbours and their distance in Å.
Fractional coordinates of all 4 atoms:
Hf: 0.0000 0.0000 0.0000  4 Rh 2.77, 4 V 2.77
Ti: 0.5000 0.5000 0.5000  4 Rh 2.77, 4 V 2.77
V: 0.2500 0.2500 0.2500  4 Ti 2.77, 4 Hf 2.77
Rh: 0.7500 0.7500 0.7500  4 Ti 2.77, 4 Hf 2.77

Properties
Crystal system: cubic
Symmetry: No. 216

=====

Below is crystalline Hf2TiZn2Rh5 at its relaxed geometry, with properties calculated at the PBE level.

Unit cell a=9.4404 b=9.4404 c=3.5408 alpha=90.00 beta=90.00 gamma=90.00
Last column: nearest neighbours and their distance in Å.
Fractional coordinates of all 20 atoms:
Hf: 0.1721 0.3279 0.0000  3 Zn 2.70-2.85, 6 Rh 2.90-2.97
Hf: 0.3279 0.8279 0.0000  3 Zn 2.70-2.85, 6 Rh 2.90-2.97
Hf: 0.6721 0.1721 0.0000  3 Zn 2.70-2.85, 6 Rh 2.90-2.97
Hf: 0.8279 0.6721 0.0000  3 Zn 2.70-2.85, 6 Rh 2.90-2.97
Ti: 0.0000 0.0000 0.0000  8 Rh 2.67
Ti: 0.5000 0.5000 0.0000  8 Rh 2.67
Zn: 0.1260 0.6260 0.0000  6 Rh 2.44-2.48, 1 Hf 2.70
Zn: 0.3740 0.1260 0.0000  6 Rh 2.44-2.48, 1 Hf 2.70
Zn: 0.6260 0.8740 0.0000  6 Rh 2.44-2.48, 1 Hf 2.70
Zn: 0.8740 0.3740 0.0000  6 Rh 2.44-2.48, 1 Hf 2.70
Rh: 0.0000 0.5000 0.5000  4 Zn 2.44
Rh: 0.0760 0.8028 0.5000  2 Zn 2.48, 2 Ti 2.67
Rh: 0.1972 0.0760 0.5000  2 Zn 2.48, 2 Ti 2.67
Rh: 0.3028 0.5760 0.5000  2 Zn 2.48, 2 Ti 2.67
Rh: 0.4240 0.3028 0.5000  2 Zn 2.48, 2 Ti 2.67
Rh: 0.5000 0.0000 0.5000  4 Zn 2.44
Rh: 0.5760 0.6972 0.5000  2 Zn 2.48, 2 Ti 2.67
Rh: 0.6972 0.4240 0.5000  2 Zn 2.48, 2 Ti 2.67
Rh: 0.8028 0.9240 0.5000  2 Zn 2.48, 2 Ti 2.67
Rh: 0.9240 0.1972 0.5000  2 Zn 2.48, 2 Ti 2.67

Properties
Crystal system: tetragonal
Symmetry: No. 127

=====

Below is crystalline Hf6TlRh at its relaxed geometry, with properties calculated at the PBE level.

Unit cell a=6.0685 b=6.0685 c=6.0491 alpha=108.49 beta=108.49 gamma=108.78
Last column: nearest neighbours and their distance in Å.
Fractional coordinates of all 8 atoms:
Hf: 0.2201 0.7453 0.7466  1 Rh 2.77, 3 Hf 2.94-3.02, 1 Tl 3.03
Hf: 0.2547 0.2547 0.7861  1 Rh 2.73, 3 Hf 2.96-2.99, 1 Tl 3.04
Hf: 0.2547 0.7799 0.2534  1 Rh 2.77, 3 Hf 2.94-3.02, 1 Tl 3.03
Hf: 0.7453 0.2201 0.7466  1 Rh 2.77, 3 Hf 2.94-3.02, 1 Tl 3.03
Hf: 0.7453 0.7453 0.2139  1 Rh 2.73, 3 Hf 2.96-2.99, 1 Tl 3.04
Hf: 0.7799 0.2547 0.2534  1 Rh 2.77, 3 Hf 2.94-3.02, 1 Tl 3.03
Tl: 0.5000 0.5000 0.5000  6 Hf 3.03-3.04, 2 Rh 3.16
Rh: 0.0000 0.0000 0.0000  6 Hf 2.73-2.77

Properties
Crystal system: monoclinic
Symmetry: No. 12

=====

Below is crystalline Hf4TlRh at its relaxed geometry, with properties calculated at the PBE level.

Unit cell a=7.3504 b=7.3504 c=5.5155 alpha=99.67 beta=99.67 gamma=114.89
Last column: nearest neighbours and their distance in Å.
Fractional coordinates of all 12 atoms:
Hf: 0.0867 0.7070 0.9382  2 Rh 2.82-2.86, 2 Tl 2.99-3.15, 4 Hf 3.01-3.15
Hf: 0.1861 0.3699 0.6410  2 Rh 2.67-2.83
Hf: 0.2930 0.9133 0.5618  2 Rh 2.82-2.86, 2 Tl 2.99-3.15, 4 Hf 3.01-3.15
Hf: 0.3699 0.1861 0.1410  2 Rh 2.67-2.83
Hf: 0.6301 0.8139 0.8590  2 Rh 2.67-2.83
Hf: 0.7070 0.0867 0.4382  2 Rh 2.82-2.86, 2 Tl 2.99-3.15, 4 Hf 3.01-3.15
Hf: 0.8139 0.6301 0.3590  2 Rh 2.67-2.83
Hf: 0.9133 0.2930 0.0618  2 Rh 2.82-2.86, 2 Tl 2.99-3.15, 4 Hf 3.01-3.15
Tl: 0.3907 0.6093 0.2500  10 Hf 2.99-3.28
Tl: 0.6093 0.3907 0.7500  10 Hf 2.99-3.28
Rh: 0.0061 0.9939 0.2500  8 Hf 2.67-2.86, 2 Rh 2.76
Rh: 0.9939 0.0061 0.7500  8 Hf 2.67-2.86, 2 Rh 2.76

Properties
Crystal system: monoclinic
Symmetry: No. 15

=====

Below is crystalline HfTl3Rh at its relaxed geometry, with properties calculated at the PBE level.

Unit cell a=5.1656 b=5.1656 c=5.1656 alpha=90.00 beta=90.00 gamma=90.00
Last column: nearest neighbours and their distance in Å.
Fractional coordinates of all 5 atoms:
Hf: 0.0000 0.0000 0.0000  12 Tl 3.65
Tl: 0.0000 0.5000 0.5000  2 Rh 2.58
Tl: 0.5000 0.0000 0.5000  2 Rh 2.58
Tl: 0.5000 0.5000 0.0000  2 Rh 2.58
Rh: 0.5000 0.5000 0.5000  6 Tl 2.58

Properties
ΔE to the lowest computed polymorph, meV/atom: 0
Crystal system: cubic
Symmetry: No. 221

=====

Below is crystalline HfTl2Rh2 at its relaxed geometry, with properties calculated at the PBE level.

Unit cell a=6.9282 b=6.9282 c=4.1095 alpha=90.00 beta=90.00 gamma=90.00
Last column: nearest neighbours and their distance in Å.
Fractional coordinates of all 10 atoms:
Hf: 0.0000 0.0000 0.0000  4 Rh 2.67
Hf: 0.5000 0.5000 0.0000  4 Rh 2.67
Tl: 0.1652 0.3348 0.5000  6 Rh 2.80-2.96
Tl: 0.3348 0.8348 0.5000  6 Rh 2.80-2.96
Tl: 0.6652 0.1652 0.5000  6 Rh 2.80-2.96
Tl: 0.8348 0.6652 0.5000  6 Rh 2.80-2.96
Rh: 0.1413 0.6413 0.0000  2 Hf 2.67, 1 Rh 2.77, 6 Tl 2.80-2.96
Rh: 0.3587 0.1413 0.0000  2 Hf 2.67, 1 Rh 2.77, 6 Tl 2.80-2.96
Rh: 0.6413 0.8587 0.0000  2 Hf 2.67, 1 Rh 2.77, 6 Tl 2.80-2.96
Rh: 0.8587 0.3587 0.0000  2 Hf 2.67, 1 Rh 2.77, 6 Tl 2.80-2.96

Properties
Crystal system: tetragonal
Symmetry: No. 127

=====

Below is crystalline HfTl3Rh at its relaxed geometry, with properties calculated at the PBE level.

Unit cell a=5.5177 b=5.5177 c=5.5177 alpha=90.00 beta=90.00 gamma=90.00
Last column: nearest neighbours and their distance in Å.
Fractional coordinates of all 5 atoms:
Hf: 0.0000 0.0000 0.0000  6 Tl 2.76
Tl: 0.0000 0.0000 0.5000  2 Hf 2.76
Tl: 0.0000 0.5000 0.0000  2 Hf 2.76
Tl: 0.5000 0.0000 0.0000  2 Hf 2.76
Rh: 0.5000 0.5000 0.5000  12 Tl 3.90

Properties
ΔE to the lowest computed polymorph, meV/atom: 570
Crystal system: cubic
Symmetry: No. 221

=====

Below is crystalline TmHf2Rh3 at its relaxed geometry, with properties calculated at the PBE level.

Unit cell a=3.2681 b=3.2681 c=10.2297 alpha=90.00 beta=90.00 gamma=90.00
Last column: nearest neighbours and their distance in Å.
Fractional coordinates of all 6 atoms:
Tm: 0.0000 0.0000 0.0000  8 Rh 3.01, 4 Tm 3.27
Hf: 0.0000 0.0000 0.3364  8 Rh 2.76-2.85
Hf: 0.0000 0.0000 0.6636  8 Rh 2.76-2.85
Rh: 0.5000 0.5000 0.1886  4 Hf 2.76, 4 Tm 3.01
Rh: 0.5000 0.5000 0.5000  8 Hf 2.85, 2 Rh 3.19
Rh: 0.5000 0.5000 0.8114  4 Hf 2.76, 4 Tm 3.01

Properties
Crystal system: tetragonal
Symmetry: No. 123

=====

Below is crystalline TmHfRh4 at its relaxed geometry, with properties calculated at the PBE level.

Unit cell a=5.2459 b=5.2459 c=5.2459 alpha=60.00 beta=60.00 gamma=60.00
Last column: nearest neighbours and their distance in Å.
Fractional coordinates of all 6 atoms:
Tm: 0.0000 0.0000 0.0000  12 Rh 3.08, 4 Hf 3.21
Hf: 0.7500 0.7500 0.7500  12 Rh 3.08, 4 Tm 3.21
Rh: 0.3750 0.3750 0.3750  6 Rh 2.62
Rh: 0.3750 0.3750 0.8749  6 Rh 2.62
Rh: 0.3750 0.8749 0.3750  6 Rh 2.62
Rh: 0.8749 0.3750 0.3750  6 Rh 2.62

Properties
ΔE to the lowest computed polymorph, meV/atom: 0
Crystal system: cubic
Symmetry: No. 216

=====

For the records above, the corresponding size of the total moment values read 0.0; 0.0; 0.0; 1.8; 0.0; 0.0; 0.0; 0.0; 0.0; 0.9; 0.0; 0.0 μB per formula unit.
For the records above, the corresponding electronic total energy values read -9.0826; -9.0107; -8.6092; -8.9439; -7.3194; -8.5610; -8.4322; -4.2280; -6.0009; -3.6581; -8.6591; -7.9697 eV/atom.